A) Below is Mg16Al12Te after structural relaxation, with properties calculated at the PBE level.

Cell and atoms, written as POSCAR:
```
Mg16Al12Te
1.0
-0.549 -1.385 -8.960
-1.630 -7.855 4.260
-6.386 5.994 2.411
Mg Al Te
16 12 1
Cartesian
-6.333 -5.337 -3.129
-0.097 -0.037 -0.026
-3.316 -4.107 0.963
-4.568 -6.366 -0.835
-7.698 0.115 1.682
-4.220 -4.282 -5.094
-5.032 -1.544 1.379
-6.166 -4.346 2.278
-7.992 -0.504 -3.775
-7.402 1.886 -1.938
-5.522 -0.491 -5.600
-4.698 0.456 -2.707
-8.370 -2.762 0.839
-2.890 -1.559 -4.243
-5.188 1.347 0.235
-3.228 -3.824 -2.135
-2.960 -6.427 -3.387
-6.974 2.819 2.352
-6.772 4.030 -0.124
-3.136 -0.567 -7.208
-5.829 -3.582 -0.667
-6.640 -1.775 3.783
-2.919 -7.191 1.375
-2.245 -3.160 -6.862
-5.958 2.305 -4.553
-4.012 -5.809 3.504
-6.731 -0.956 -1.018
-5.624 -2.355 -3.174
-3.091 -1.172 -0.826
```

Results
The density of states at the Fermi level is 10.6 states/eV/f.u.


B) Below is Mg16Al12Te after structural relaxation, with properties calculated at the PBE level.

Cell and atoms, written as POSCAR:
```
Mg16Al12Te
1.0
-5.300 5.300 5.300
5.300 -5.300 5.300
5.300 5.300 -5.300
Mg Al Te
16 12 1
Cartesian
3.534 3.534 -3.534
1.503 4.820 1.503
-1.503 1.503 5.780
3.797 3.797 -0.480
-0.480 3.797 3.797
3.797 -0.480 3.797
1.503 -1.503 5.780
-1.503 5.780 1.503
1.503 1.503 4.820
1.503 5.780 -1.503
-3.534 3.534 3.534
5.780 -1.503 1.503
5.780 1.503 -1.503
4.820 1.503 1.503
3.534 -3.534 3.534
1.766 1.766 1.766
0.986 2.976 -0.986
-0.986 0.986 2.976
2.324 4.314 4.314
4.314 4.314 2.324
2.976 0.986 -0.986
4.314 2.324 4.314
0.986 -0.986 2.976
-0.986 2.976 0.986
0.986 0.986 7.625
2.976 -0.986 0.986
7.625 0.986 0.986
0.986 7.625 0.986
0.000 0.000 0.000
```

Results
The density of states at the Fermi level is 15.8 states/eV/f.u.


We find A) to be the most stable, with the next structure 0.024 eV/atom higher.


A) Below is ThMgAl2 after structural relaxation, with properties calculated at the PBE level.

Cell and atoms, written as POSCAR:
```
ThMgAl2
1.0
-0.013 1.435 -4.329
-1.877 -2.586 -3.254
-5.214 1.952 -1.740
Al Mg Th
2 1 1
Cartesian
-4.837 0.351 -7.077
-2.267 0.450 -2.246
-3.552 0.401 -4.662
0.000 0.000 0.000
```

Results
The density of states at the Fermi level is 2.3 states/eV/f.u.


B) Below is ThMgAl2 after structural relaxation, with properties calculated at the PBE level.

Cell and atoms, written as POSCAR:
```
ThMgAl2
1.0
-3.510 2.619 0.110
-0.931 -1.064 -4.371
-2.586 -3.526 1.409
Al Mg Th
2 1 1
Cartesian
-1.293 -1.763 0.704
-0.465 -0.532 -2.186
-1.755 1.309 0.055
-3.513 -0.985 -1.426
```

Results
The density of states at the Fermi level is 2.4 states/eV/f.u.


We find B) to be the most stable, with the next structure 0.072 eV/atom higher.


A) Below is Mg2Ti2Al after structural relaxation, with properties calculated at the PBE level.

Cell and atoms, written as POSCAR:
```
Mg2Ti2Al
1.0
-1.413 1.644 -3.233
-1.952 -3.269 -0.809
-6.884 1.446 1.401
Ti Mg Al
2 2 1
Cartesian
-2.474 -0.469 -1.500
-7.775 0.290 -1.140
-5.259 -1.318 -0.714
-4.990 1.139 -1.926
0.000 0.000 0.000
```

Results
The density of states at the Fermi level is 3.3 states/eV/f.u.


B) Below is Mg2Ti2Al after structural relaxation, with properties calculated at the PBE level.

Cell and atoms, written as POSCAR:
```
Mg2Ti2Al
1.0
6.844 0.000 0.000
0.000 6.844 0.000
0.000 0.000 4.362
Mg Al Ti
4 2 4
Cartesian
1.127 4.548 2.181
4.548 5.717 2.181
5.717 2.295 2.181
2.295 1.127 2.181
3.422 3.422 0.000
0.000 0.000 0.000
4.347 0.925 0.000
2.497 5.919 0.000
5.919 4.347 0.000
0.925 2.497 0.000
```

Results
The density of states at the Fermi level is 4.8 states/eV/f.u.


We find B) to be the most stable, with the next structure 0.100 eV/atom higher.


A) Below is MgTi2Al2 after structural relaxation, with properties calculated at the PBE level.

Cell and atoms, written as POSCAR:
```
MgTi2Al2
1.0
-5.118 1.541 -5.246
3.272 -4.892 -4.631
-1.847 -2.301 1.126
Al Ti Mg
4 4 2
Cartesian
0.940 -3.710 -6.040
-2.786 0.359 -3.836
0.606 -1.656 -2.391
-2.451 -1.695 -7.485
0.391 -4.181 -3.472
-1.672 -4.152 -6.798
-2.021 -1.501 -1.953
-4.084 -1.472 -5.278
-0.923 -1.675 -4.938
0.000 0.000 0.000
```

Results
The density of states at the Fermi level is 5.5 states/eV/f.u.


B) Below is MgTi2Al2 after structural relaxation, with properties calculated at the PBE level.

Cell and atoms, written as POSCAR:
```
MgTi2Al2
1.0
7.894 0.000 0.000
0.000 7.894 0.000
0.000 0.000 2.932
Al Ti Mg
4 4 2
Cartesian
6.468 2.521 1.466
1.426 5.373 1.466
5.373 6.468 1.466
2.521 1.426 1.466
4.873 0.926 0.000
3.021 6.968 0.000
6.968 4.873 0.000
0.926 3.021 0.000
0.000 0.000 0.000
3.947 3.947 0.000
```

Results
The density of states at the Fermi level is 4.8 states/eV/f.u.


We find A) to be the most stable, with the next structure 0.105 eV/atom higher.


A) Below is Mg16Al12Tl after structural relaxation, with properties calculated at the PBE level.

Cell and atoms, written as POSCAR:
```
Mg16Al12Tl
1.0
8.613 0.012 -3.023
-4.242 7.495 -3.023
0.011 0.018 9.121
Mg Al Tl
16 12 1
Cartesian
4.796 2.410 -0.220
4.182 2.991 5.844
-2.863 5.161 1.549
-2.753 4.903 -1.936
0.536 5.113 5.844
-0.066 4.496 2.790
-0.272 5.360 -0.220
-0.780 7.502 1.999
3.942 2.163 2.790
0.001 0.002 0.000
4.371 7.509 -0.059
1.373 2.359 4.601
5.623 0.027 -1.936
1.495 2.569 0.989
5.902 0.059 1.549
6.908 3.026 1.999
1.621 0.021 2.767
2.356 1.337 7.418
7.035 2.773 -2.464
4.405 4.782 1.488
1.983 6.192 1.488
-1.062 7.487 -2.464
2.770 4.758 3.692
3.607 6.196 -3.333
-1.874 6.093 4.412
-0.782 1.420 2.767
-0.001 2.709 7.418
6.224 1.378 4.412
2.665 4.578 -1.027
```

Results
The density of states at the Fermi level is 7.2 states/eV/f.u.


B) Below is Mg16Al12Tl after structural relaxation, with properties calculated at the PBE level.

Cell and atoms, written as POSCAR:
```
Mg16Al12Tl
1.0
-3.048 -7.605 -4.102
9.122 -0.389 0.765
-3.738 0.681 8.337
Mg Al Tl
16 12 1
Cartesian
1.570 -5.366 -2.503
1.098 0.310 6.019
5.973 -0.255 0.501
0.806 -2.524 1.726
-3.587 -4.937 0.534
5.027 -3.317 -1.121
4.394 -2.459 1.881
-1.996 -4.980 -2.686
-0.764 -2.030 4.918
-0.487 -5.353 -0.070
2.359 -1.985 4.287
4.750 0.006 3.868
-3.783 -2.583 4.067
2.576 -4.594 0.370
-2.448 0.446 5.459
-1.473 -4.257 2.754
2.695 -0.017 1.849
-1.964 -1.173 2.335
-3.828 -5.696 3.582
0.894 -6.017 2.369
4.244 -6.368 -1.170
3.178 -4.663 3.282
2.825 -1.572 -0.485
-1.836 -2.704 0.037
3.811 -1.168 6.637
0.576 -2.905 -1.384
0.765 -4.462 4.703
0.320 0.181 3.248
0.000 0.000 0.000
```

Results
The density of states at the Fermi level is 7.4 states/eV/f.u.


We find A) to be the most stable, with the next structure 0.009 eV/atom higher.


A) Below is Mg3AlTl after structural relaxation, with properties calculated at the PBE level.

Cell and atoms, written as POSCAR:
```
Mg3AlTl
1.0
5.321 0.000 0.000
0.000 5.321 0.000
0.000 0.000 5.321
Tl Mg Al
1 3 1
Cartesian
0.000 0.000 0.000
0.000 0.000 2.661
2.661 0.000 0.000
0.000 2.661 0.000
2.661 2.661 2.661
```

Results
The density of states at the Fermi level is 2.9 states/eV/f.u.


B) Below is Mg3AlTl after structural relaxation, with properties calculated at the PBE level.

Cell and atoms, written as POSCAR:
```
Mg3AlTl
1.0
-2.156 -4.900 -1.562
7.820 -4.221 -2.371
0.705 -4.409 8.041
Mg Tl Al
12 4 4
Cartesian
0.336 -3.364 4.895
4.871 -3.658 0.176
0.307 -3.658 1.138
6.033 -10.166 -0.788
0.155 -6.084 -0.998
2.709 -7.833 6.436
0.918 -6.184 3.602
6.214 -7.446 5.106
5.451 -7.346 0.506
1.498 -9.872 3.932
6.062 -9.872 2.970
3.660 -5.697 -2.328
3.621 -10.141 1.176
3.661 -7.719 3.477
2.708 -5.811 0.630
2.747 -3.389 2.932
0.906 -5.614 6.568
6.491 -5.467 -1.605
5.463 -7.915 -2.461
-0.122 -8.063 5.713
```

Results
The density of states at the Fermi level is 1.7 states/eV/f.u.


C) Below is Mg3AlTl after structural relaxation, with properties calculated at the PBE level.

Cell and atoms, written as POSCAR:
```
Mg3AlTl
1.0
-4.037 -1.619 2.899
-0.737 -4.013 -3.266
3.238 -2.931 2.871
Tl Mg Al
1 3 1
Cartesian
-0.768 -4.282 1.252
-0.368 -2.007 -1.633
1.619 -1.466 1.436
-2.018 -0.809 1.450
0.000 0.000 0.000
```

Results
The density of states at the Fermi level is 2.7 states/eV/f.u.


We find B) to be the most stable, with the next structure 0.270 eV/atom higher.